No. 1
First-principles (GGA-PBE) data for a relaxed structure of CaMn2CdFe, as listed in Alexandria.

Results
Formation enthalpy at 0 K ... 1.03 eV per atom

extended XYZ file:
```
5
Lattice="5.0336 0.0000 0.0000 0.0000 4.9432 0.0000 0.0000 0.0000 5.0336" Properties=species:S:1:pos:R:3 pbc="T T T"
Ca 2.5168 2.4716 2.5168
Cd 0.0000 0.0000 0.0000
Fe 0.0000 2.4716 0.0000
Mn 2.5168 0.0000 0.0000
Mn 0.0000 0.0000 2.5168
```

=====

No. 2
First-principles (GGA-PBE) data for a relaxed structure of Ca2CdFeN, as listed in Alexandria.

Results
Raw formation energy ... -0.424 eV/atom

extended XYZ file:
```
5
Lattice="-0.9378 4.3546 2.5860 -4.1643 0.8339 -2.9143 -2.0109 -1.8287 2.3501" Properties=species:S:1:pos:R:3 pbc="T T T"
Ca -2.0821 0.4169 -1.4572
Ca -0.4689 2.1773 1.2930
Fe -1.0054 -0.9143 1.1750
N 0.0000 0.0000 0.0000
Cd -3.5565 1.6799 1.0109
```

=====

No. 3
First-principles (GGA-PBE) data for a relaxed structure of NaCa2CdFe, as listed in Alexandria.

Results
Formation enthalpy at 0 K ... 0.75 eV per atom

extended XYZ file:
```
5
Lattice="-0.8191 3.9425 -4.2686 2.7812 -3.1448 -3.4382 -4.9718 -2.7068 -1.5460" Properties=species:S:1:pos:R:3 pbc="T T T"
Fe -1.5048 -0.9545 -4.6264
Ca -0.4095 1.9713 -2.1343
Ca -2.4859 -1.3534 -0.7730
Cd 0.0000 0.0000 0.0000
Na 1.3906 -1.5724 -1.7191
```

=====

no.,calculated volume (Å³ per atom),DFT total energy (eV per atom)
1,25.05,-4.919
2,19.06,-4.765
3,37.37,-2.187